[1]
Ac6AlZn5 after structural relaxation, computed with PBE.

Computed properties:
* E_form: -0.245 eV/atom
* raw total energy: -3.1415 eV/atom

extended XYZ file:
```
12
Lattice="4.795 -8.297 0.000 4.795 8.297 0.000 -3.204 0.000 4.528" Properties=species:S:1:pos:R:3 pbc="T T T"
Ac -0.009 2.768 3.394
Ac 1.587 0.000 1.126
Ac -0.009 -2.768 3.394
Ac 6.395 2.768 1.134
Ac 4.800 0.000 3.402
Ac 6.395 -2.768 1.134
Al 4.795 0.000 0.000
Zn -1.602 0.000 2.264
Zn 4.795 5.526 0.000
Zn 3.193 2.730 2.264
Zn 3.193 -2.730 2.264
Zn 4.795 -5.526 0.000
```

[2]
Ac2AlZn5 after structural relaxation, computed with PBE.

Computed properties:
* E_form: -0.164 eV/atom
* raw total energy: -2.4556 eV/atom
* distance to the lowest polymorph of the same formula: 0.141 eV per atom

extended XYZ file:
```
8
Lattice="-3.050 3.050 5.359 3.050 -3.050 5.359 3.050 3.050 -5.359" Properties=species:S:1:pos:R:3 pbc="T T T"
Ac 3.050 0.000 0.000
Ac 0.000 3.050 0.000
Al 0.000 0.000 1.561
Zn 1.678 1.678 2.602
Zn 1.372 -1.372 7.961
Zn 0.000 0.000 9.647
Zn -1.372 1.372 7.961
Zn 1.372 1.372 7.961
```

[3]
Ac2Al7Zn after structural relaxation, computed with PBE.

Computed properties:
* E_form: -0.337 eV/atom
* raw total energy: -3.9059 eV/atom

extended XYZ file:
```
10
Lattice="4.499 0.000 0.000 0.000 4.499 0.000 0.000 0.000 10.992" Properties=species:S:1:pos:R:3 pbc="T T T"
Ac 0.000 2.250 2.722
Ac 2.250 0.000 8.270
Al 0.000 0.000 0.000
Al 0.000 0.000 5.496
Al 0.000 2.250 6.965
Al 0.000 2.250 9.590
Al 2.250 0.000 1.402
Al 2.250 0.000 4.027
Al 2.250 2.250 5.496
Zn 2.250 2.250 0.000
```